(1)
# PBE Cr2TeMo, optimized geometry
# total magnetic moment = 0.0 μB/f.u.
# uncorrected formation energy = 0.42 eV/atom
# calculated total energy = -7.883 eV/atom
data_Cr2TeMo
_chemical_formula_sum 'Cr8 Te4 Mo4'
_cell_length_a 6.302
_cell_length_b 6.302
_cell_length_c 6.302
_cell_angle_alpha 90.00
_cell_angle_beta 90.00
_cell_angle_gamma 90.00
_symmetry_space_group_name_H-M 'F -4 3 m'
_symmetry_Int_Tables_number 216
_symmetry_space_group_name_Hall 'F -4 2 3'
loop_
_atom_site_label
_atom_site_type_symbol
_atom_site_fract_x
_atom_site_fract_y
_atom_site_fract_z
Cr1 Cr 0.000 0.000 0.000
Cr2 Cr 0.250 0.250 0.250
Te1 Te 0.250 0.250 0.750
Mo1 Mo 0.000 0.000 0.500

***

(2)
# PBE Cr2TeMo, optimized geometry
# total magnetic moment = 3.2 μB/f.u.
# uncorrected formation energy = 0.51 eV/atom
# calculated total energy = -7.797 eV/atom
data_Cr2TeMo
_chemical_formula_sum 'Cr2 Te1 Mo1'
_cell_length_a 3.375
_cell_length_b 4.177
_cell_length_c 4.402
_cell_angle_alpha 90.00
_cell_angle_beta 90.00
_cell_angle_gamma 90.00
_symmetry_space_group_name_H-M 'P m m m'
_symmetry_Int_Tables_number 47
_symmetry_space_group_name_Hall '-P 2 2'
loop_
_atom_site_label
_atom_site_type_symbol
_atom_site_fract_x
_atom_site_fract_y
_atom_site_fract_z
Cr1 Cr 0.000 0.000 0.000
Cr2 Cr 0.500 0.000 0.500
Te1 Te 0.000 0.500 0.500
Mo1 Mo 0.500 0.500 0.000